The following is a PBE calculation of a relaxed structure of YSi2Cl, from Alexandria via LeMat-Bulk.

Properties
crystal system: tetragonal
theoretical density: 3.540 g cm⁻³
calculated total energy: -19.3 eV per formula unit
E_form (uncorrected): -0.025 eV/atom

Lattice parameters (Å, degrees): 5.087 5.087 3.273 90.00 90.00 90.00
Space group P4/mmm (No. 123)
Unique sites:
Y 0.000 0.000 0.000
Si 0.000 0.500 0.500
Cl 0.500 0.500 0.000